--- P ---
Here is a relaxed structure of YInP2S from Alexandria. Energies are from GGA-PBE.

Lattice parameters (Å, degrees): 5.367 5.367 5.216 90.00 90.00 90.00
Fractional positions:
Y 0.000 0.000 0.000
In 0.500 0.500 0.500
P 0.000 0.500 0.000
P 0.500 0.000 0.000
S 0.000 0.000 0.500

Volume = 30.052 Å³/atom
Total magnetization = 1.2 μB per cell

***

--- Q ---
Here is a relaxed structure of YInP2S from Alexandria. Energies are from GGA-PBE.

Lattice parameters (Å, degrees): 4.928 4.928 5.028 90.00 90.00 90.00
Fractional positions:
Y 0.000 0.000 0.000
In 0.500 0.500 0.500
P 0.000 0.500 0.500
P 0.500 0.000 0.500
S 0.500 0.500 0.000

Volume = 24.427 Å³/atom
Total magnetization = 0.0 μB per cell

***

Energetically preferred structure: P | next structure: +2.4 kJ/mol of atoms

***

--- P ---
Here is a relaxed structure of YInPS2 from Alexandria. Energies are from GGA-PBE.

Lattice parameters (Å, degrees): 5.263 5.263 5.474 90.00 90.00 90.00
Fractional positions:
Y 0.000 0.000 0.000
In 0.500 0.500 0.500
P 0.000 0.000 0.500
S 0.000 0.500 0.000
S 0.500 0.000 0.000

Volume = 30.329 Å³/atom
Total magnetization = 1.6 μB per cell

***

--- Q ---
Here is a relaxed structure of YInPS2 from Alexandria. Energies are from GGA-PBE.

Lattice parameters (Å, degrees): 4.957 4.957 4.944 90.00 90.00 90.00
Fractional positions:
Y 0.000 0.000 0.000
In 0.500 0.500 0.500
P 0.500 0.500 0.000
S 0.000 0.500 0.500
S 0.500 0.000 0.500

Volume = 24.299 Å³/atom
Total magnetization = 0.0 μB per cell

***

Energetically preferred structure: P | next structure: +7.0 kJ/mol of atoms

***

--- P ---
Here is a relaxed structure of ZrInPS2 from Alexandria. Energies are from GGA-PBE.

Lattice parameters (Å, degrees): 4.862 4.862 4.962 90.00 90.00 90.00
Fractional positions:
Zr 0.000 0.000 0.000
In 0.500 0.500 0.500
P 0.500 0.500 0.000
S 0.000 0.500 0.500
S 0.500 0.000 0.500

Volume = 23.458 Å³/atom
Total magnetization = 0.0 μB per cell

***

--- Q ---
Here is a relaxed structure of ZrInPS2 from Alexandria. Energies are from GGA-PBE.

Lattice parameters (Å, degrees): 4.986 4.986 5.185 90.00 90.00 90.00
Fractional positions:
Zr 0.000 0.000 0.000
In 0.500 0.500 0.500
P 0.000 0.000 0.500
S 0.000 0.500 0.000
S 0.500 0.000 0.000

Volume = 25.776 Å³/atom
Total magnetization = 0.0 μB per cell

***

Energetically preferred structure: Q | next structure: +82.6 kJ/mol of atoms

***

--- P ---
Here is a relaxed structure of In2SbP2 from Alexandria. Energies are from GGA-PBE.

Lattice parameters (Å, degrees): 7.692 7.692 3.799 90.00 90.00 90.00
Fractional positions:
In 0.144 0.356 0.000
In 0.356 0.856 0.000
In 0.644 0.144 0.000
In 0.856 0.644 0.000
Sb 0.000 0.000 0.500
Sb 0.500 0.500 0.500
P 0.168 0.668 0.500
P 0.332 0.168 0.500
P 0.668 0.832 0.500
P 0.832 0.332 0.500

Volume = 22.479 Å³/atom
Total magnetization = 0.0 μB per cell

***

--- Q ---
Here is a relaxed structure of In2SbP2 from Alexandria. Energies are from GGA-PBE.

Lattice parameters (Å, degrees): 3.372 3.372 20.904 90.00 90.00 90.00
Fractional positions:
In 0.000 0.000 0.120
In 0.000 0.000 0.880
In 0.500 0.500 0.380
In 0.500 0.500 0.620
Sb 0.000 0.000 0.500
Sb 0.500 0.500 0.000
P 0.000 0.500 0.250
P 0.000 0.500 0.750
P 0.500 0.000 0.250
P 0.500 0.000 0.750

Volume = 23.773 Å³/atom
Total magnetization = 0.0 μB per cell

***

Energetically preferred structure: Q | next structure: +1.9 kJ/mol of atoms

***

--- P ---
Here is a relaxed structure of In3SbP from Alexandria. Energies are from GGA-PBE.

Lattice parameters (Å, degrees): 5.218 5.218 5.218 90.00 90.00 90.00
Fractional positions:
In 0.000 0.000 0.500
In 0.000 0.500 0.000
In 0.500 0.000 0.000
Sb 0.500 0.500 0.500
P 0.000 0.000 0.000

Volume = 28.413 Å³/atom
Total magnetization = 0.0 μB per cell

***

--- Q ---
Here is a relaxed structure of In3SbP from Alexandria. Energies are from GGA-PBE.

Lattice parameters (Å, degrees): 5.633 5.633 5.633 90.00 90.00 90.00
Fractional positions:
In 0.000 0.000 0.500
In 0.000 0.500 0.000
In 0.500 0.000 0.000
Sb 0.000 0.000 0.000
P 0.500 0.500 0.500

Volume = 35.748 Å³/atom
Total magnetization = 0.0 μB per cell

***

Energetically preferred structure: P | next structure: +54.7 kJ/mol of atoms

***

--- P ---
Here is a relaxed structure of InSb2TeP from Alexandria. Energies are from GGA-PBE.

Lattice parameters (Å, degrees): 5.365 5.365 5.686 90.00 90.00 90.00
Fractional positions:
In 0.000 0.000 0.000
Sb 0.000 0.500 0.500
Sb 0.500 0.000 0.500
Te 0.500 0.500 0.000
P 0.500 0.500 0.500

Volume = 32.726 Å³/atom
Total magnetization = 0.0 μB per cell

***

--- Q ---
Here is a relaxed structure of InSb2TeP from Alexandria. Energies are from GGA-PBE.

Lattice parameters (Å, degrees): 5.706 5.706 5.667 90.00 90.00 90.00
Fractional positions:
In 0.000 0.000 0.000
Sb 0.000 0.500 0.000
Sb 0.500 0.000 0.000
Te 0.000 0.000 0.500
P 0.500 0.500 0.500

Volume = 36.908 Å³/atom
Total magnetization = 1.1 μB per cell

***

Energetically preferred structure: P | next structure: +68.4 kJ/mol of atoms

***

--- P ---
Here is a relaxed structure of Sc2InP from Alexandria. Energies are from GGA-PBE.

Lattice parameters (Å, degrees): 3.684 3.684 24.274 90.00 90.00 120.00
Fractional positions:
Sc 0.000 0.000 0.000
Sc 0.000 0.000 0.229
Sc 0.333 0.667 0.667
Sc 0.333 0.667 0.896
Sc 0.667 0.333 0.333
Sc 0.667 0.333 0.563
In 0.000 0.000 0.767
In 0.333 0.667 0.434
In 0.667 0.333 0.101
P 0.000 0.000 0.502
P 0.333 0.667 0.169
P 0.667 0.333 0.835

Volume = 23.771 Å³/atom
Total magnetization = 1.9 μB per cell

***

--- Q ---
Here is a relaxed structure of Sc2InP from Alexandria. Energies are from GGA-PBE.

Lattice parameters (Å, degrees): 4.433 4.433 8.109 90.00 90.00 90.00
Fractional positions:
Sc 0.000 0.500 0.250
Sc 0.000 0.500 0.750
Sc 0.500 0.000 0.250
Sc 0.500 0.000 0.750
In 0.000 0.000 0.000
In 0.500 0.500 0.500
P 0.000 0.000 0.500
P 0.500 0.500 0.000

Volume = 19.921 Å³/atom
Total magnetization = 1.2 μB per cell

***

--- R ---
Here is a relaxed structure of Sc2InP from Alexandria. Energies are from GGA-PBE.

Lattice parameters (Å, degrees): 4.016 4.016 9.968 90.00 90.00 90.00
Fractional positions:
Sc 0.000 0.000 0.000
Sc 0.000 0.500 0.250
Sc 0.500 0.000 0.750
Sc 0.500 0.500 0.500
In 0.000 0.500 0.750
In 0.500 0.000 0.250
P 0.000 0.000 0.500
P 0.500 0.500 0.000

Volume = 20.096 Å³/atom
Total magnetization = 0.0 μB per cell

***

Energetically preferred structure: R | next structure: +9.7 kJ/mol of atoms

***

--- P ---
Here is a relaxed structure of Sc2InP from Alexandria. Energies are from GGA-PBE.

Lattice parameters (Å, degrees): 6.319 3.650 7.924 90.00 105.51 90.00
Fractional positions:
Sc 0.232 0.000 0.195
Sc 0.268 0.500 0.805
Sc 0.732 0.500 0.195
Sc 0.768 0.000 0.805
In 0.000 0.000 0.500
In 0.500 0.500 0.500
P 0.000 0.500 0.000
P 0.500 0.000 0.000

Volume = 22.012 Å³/atom
Total magnetization = 0.0 μB per cell

***

--- Q ---
Here is a relaxed structure of Sc2InP from Alexandria. Energies are from GGA-PBE.

Lattice parameters (Å, degrees): 6.870 6.870 6.870 90.00 90.00 90.00
Fractional positions:
Sc 0.250 0.250 0.250
Sc 0.250 0.250 0.750
Sc 0.250 0.750 0.250
Sc 0.250 0.750 0.750
Sc 0.750 0.250 0.250
Sc 0.750 0.250 0.750
Sc 0.750 0.750 0.250
Sc 0.750 0.750 0.750
In 0.000 0.000 0.000
In 0.000 0.500 0.500
In 0.500 0.000 0.500
In 0.500 0.500 0.000
P 0.000 0.000 0.500
P 0.000 0.500 0.000
P 0.500 0.000 0.000
P 0.500 0.500 0.500

Volume = 20.269 Å³/atom
Total magnetization = 0.0 μB per cell

***

--- R ---
Here is a relaxed structure of Sc2InP from Alexandria. Energies are from GGA-PBE.

Lattice parameters (Å, degrees): 3.657 3.657 7.276 90.00 90.00 90.00
Fractional positions:
Sc 0.000 0.000 0.000
Sc 0.500 0.500 0.362
In 0.000 0.000 0.569
P 0.500 0.500 0.011

Volume = 24.323 Å³/atom
Total magnetization = 0.0 μB per cell

***

--- S ---
Here is a relaxed structure of Sc2InP from Alexandria. Energies are from GGA-PBE.

Lattice parameters (Å, degrees): 3.218 3.403 7.558 90.00 97.21 90.00
Fractional positions:
Sc 0.086 0.000 0.293
Sc 0.914 0.000 0.707
In 0.500 0.500 0.000
P 0.500 0.500 0.500

Volume = 20.526 Å³/atom
Total magnetization = 0.0 μB per cell

***

Energetically preferred structure: P | next structure: +17.8 kJ/mol of atoms